Here is crystalline Sc2Si4Rh3 at its relaxed geometry from Alexandria. Energies are from PBE-GGA.

a b c (Å): 5.3295 5.3295 6.3918
angles (deg): 102.22 102.22 119.49
Closest atoms and distances in Å follow each position.
Element x y z (fractional)
Sc 0.6339 0.6339 0.2678  8 Si 2.84-3.14, 6 Rh 3.08-3.10, 1 Sc 3.11
Si 0.9911 0.3357 0.3268  3 Rh 2.43-2.47, 1 Si 2.47
Rh 0.0000 0.0000 0.0000  4 Si 2.47, 4 Rh 2.66
Si 0.0089 0.6643 0.6732  3 Rh 2.43-2.47, 1 Si 2.47
Si 0.3357 0.9911 0.3268  3 Rh 2.43-2.47, 1 Si 2.47
Si 0.6643 0.0089 0.6732  3 Rh 2.43-2.47, 1 Si 2.47
Rh 0.5000 0.0000 0.0000  4 Si 2.43, 4 Rh 2.66-2.69
Sc 0.3661 0.3661 0.7322  8 Si 2.84-3.14, 6 Rh 3.08-3.10, 1 Sc 3.11
Rh 0.0000 0.5000 0.0000  4 Si 2.43, 4 Rh 2.66-2.69

Calculated values
Energy relative to the elements, uncorrected = -0.735 eV/atom
Electronic total energy = -63.03 eV for the cell shown